[1]
6
Lattice="0.0000 4.0001 4.0001 4.0001 0.0000 4.0001 4.0001 4.0001 0.0000" Properties=species:S:1:pos:R:3 comment="PBE Hg4RhAu, relaxed" m_tot_mub_per_atom=0.0000 formation_energy_ev_per_atom=0.542 crystal_system=cubic pbc="T T T"
Hg 3.0016 4.9987 4.9987
Hg 4.9987 4.9987 3.0016
Hg 4.9987 3.0016 4.9987
Hg 3.0016 3.0016 3.0016
Rh 6.0002 6.0002 6.0002
Au 0.0000 0.0000 0.0000


[2]
4
Lattice="3.3144 0.0959 0.0000 -0.7486 3.2302 0.0000 0.0000 0.0000 9.7016" Properties=species:S:1:pos:R:3 comment="PBE In2TeP, relaxed" m_tot_mub_per_atom=0.0000 relative_energy_mev_per_atom=447.5 crystal_system=orthorhombic pbc="T T T"
In 0.0000 0.0000 0.1711
In 1.2829 1.6631 2.7177
P 0.0000 0.0000 4.3263
Te 1.2829 1.6631 7.3373


[3]
20
Lattice="-4.6224 0.9686 0.7879 2.7579 -1.5844 3.5790 2.8762 11.4174 2.8381" Properties=species:S:1:pos:R:3 comment="PBE SiP2O7, relaxed" m_tot_mub_per_atom=0.0000 relative_energy_mev_per_atom=2.3 crystal_system=hexagonal pbc="T T T"
O -3.3039 1.5935 1.9374
O -1.2947 0.7596 3.2562
O -1.0534 1.3131 0.7850
O 3.4340 5.7083 4.3976
O 1.4248 6.5423 3.0788
O 1.1835 5.9888 5.5501
O -1.4132 3.0907 2.4573
O 2.4848 7.9484 4.8067
O -2.3627 5.3306 2.8667
O -0.3529 4.4966 4.1851
O -0.1122 5.0503 1.7136
O 4.3756 9.4455 5.3262
O 2.3659 10.2794 4.0078
O 2.1252 9.7258 6.4793
P -1.0392 4.5755 2.8264
P 2.8589 9.4332 5.1758
P -1.7873 1.6060 2.0883
P 2.1109 6.4637 4.4376
Si 0.0299 0.1187 0.0295
Si -3.1544 6.7960 2.2365


[4]
4
Lattice="3.2333 0.0000 0.0000 0.0000 3.2333 0.0000 0.0000 0.0000 6.9447" Properties=species:S:1:pos:R:3 comment="PBE CeZrNi2, relaxed" m_tot_mub_per_atom=0.0002 formation_energy_ev_per_atom=-0.303 relative_energy_mev_per_atom=0.0 crystal_system=tetragonal pbc="T T T"
Ni 0.0000 0.0000 5.5014
Ni 0.0000 0.0000 1.4433
Zr 1.6166 1.6166 0.0000
Ce 1.6166 1.6166 3.4723


[5]
20
Lattice="4.0750 0.0000 0.0000 0.0000 9.9106 0.0000 0.0000 0.0000 9.9106" Properties=species:S:1:pos:R:3 comment="PBE Ac2CuPd5Pt2, relaxed" m_tot_mub_per_atom=0.0000 formation_energy_ev_per_atom=-0.571 crystal_system=tetragonal pbc="T T T"
Ac 0.0000 6.6776 1.7223
Ac 0.0000 3.2330 8.1883
Ac 0.0000 1.7223 3.2330
Ac 0.0000 8.1883 6.6776
Cu 0.0000 0.0000 0.0000
Cu 0.0000 4.9553 4.9553
Pd 2.0375 1.9029 0.5860
Pd 2.0375 8.0076 9.3246
Pd 2.0375 0.5860 8.0076
Pd 2.0375 6.8582 4.3693
Pd 2.0375 9.3246 1.9029
Pd 2.0375 3.0523 5.5412
Pd 2.0375 5.5412 6.8582
Pd 2.0375 4.3693 3.0523
Pd 2.0375 4.9553 0.0000
Pd 2.0375 0.0000 4.9553
Pt 0.0000 1.2436 6.1988
Pt 0.0000 8.6670 3.7117
Pt 0.0000 6.1988 8.6670
Pt 0.0000 3.7117 1.2436


[6]
14
Lattice="8.0461 0.0000 0.0000 4.0230 6.9681 0.0000 4.0230 2.3227 6.5550" Properties=species:S:1:pos:R:3 comment="PBE CaHo4TmS8, relaxed" m_tot_mub_per_atom=0.0000 dft_energy_ev_per_atom=-6.129 crystal_system=trigonal pbc="T T T"
Ca 8.0461 4.6454 5.7340
Ho 8.0461 4.6454 0.8234
Ho 4.0230 4.6091 3.2903
Ho 6.0031 1.1795 3.2903
Ho 2.0430 1.1795 3.2903
Tm 4.0230 2.3227 6.5139
S 8.0461 7.1744 4.8610
S 10.2363 3.3809 4.8610
S 5.8559 3.3809 4.8610
S 4.0230 2.3227 1.8473
S 8.0461 2.1646 1.6749
S 5.8976 5.8858 1.6749
S 10.1945 5.8858 1.6749
S 12.0691 6.9681 4.7652


[7]
4
Lattice="4.1182 0.0000 0.0000 0.0000 3.9370 0.0000 0.0000 0.0000 3.9370" Properties=species:S:1:pos:R:3 comment="PBE NaPdPt2, relaxed" m_tot_mub_per_atom=0.0000 formation_energy_ev_per_atom=-0.068 crystal_system=tetragonal pbc="T T T"
Na 2.0591 1.9685 1.9685
Pd 2.0591 0.0000 0.0000
Pt 0.0000 0.0000 1.9685
Pt 0.0000 1.9685 0.0000


[8]
4
Lattice="-0.4276 0.7202 -3.2081 -2.2631 -2.4117 -0.2398 -6.3699 5.7643 2.1430" Properties=species:S:1:pos:R:3 comment="PBE InRePb2, relaxed" m_tot_mub_per_atom=0.0000 formation_energy_ev_per_atom=0.595 relative_energy_mev_per_atom=79.4 crystal_system=tetragonal pbc="T T T"
In -5.7613 3.1504 -0.2383
Pb -6.2417 5.6483 2.0999
Pb -3.3235 0.9444 -1.0584
Re -3.2888 2.9762 1.1065